[1]
# Er2LuPu | Alexandria via LeMat-Bulk | GGA-PBE | relaxed
data_Er2LuPu
_chemical_formula_sum 'Er8 Lu4 Pu4'
_cell_length_a 7.7890
_cell_length_b 7.7890
_cell_length_c 7.7890
_cell_angle_alpha 90.00
_cell_angle_beta 90.00
_cell_angle_gamma 90.00
_symmetry_space_group_name_H-M 'F m -3 m'
_symmetry_Int_Tables_number 225
_symmetry_space_group_name_Hall '-F 4 2 3'
loop_
_atom_site_label
_atom_site_type_symbol
_atom_site_fract_x
_atom_site_fract_y
_atom_site_fract_z
Er1 Er 0.2500 0.2500 0.2500
Lu1 Lu 0.0000 0.0000 0.0000
Pu1 Pu 0.0000 0.0000 0.5000
# * E_form: 0.1764 eV/atom
# * magnetic moment: 6.953 μB per formula unit


[2]
# ErLu2Pu | Alexandria via LeMat-Bulk | GGA-PBE | relaxed
data_ErLu2Pu
_chemical_formula_sum 'Er1 Lu2 Pu1'
_cell_length_a 4.8802
_cell_length_b 4.8802
_cell_length_c 4.8912
_cell_angle_alpha 90.00
_cell_angle_beta 90.00
_cell_angle_gamma 90.00
_symmetry_space_group_name_H-M 'P 4/m m m'
_symmetry_Int_Tables_number 123
_symmetry_space_group_name_Hall '-P 4 2'
loop_
_atom_site_label
_atom_site_type_symbol
_atom_site_fract_x
_atom_site_fract_y
_atom_site_fract_z
Er1 Er 0.0000 0.0000 0.0000
Lu1 Lu 0.0000 0.5000 0.5000
Pu1 Pu 0.5000 0.5000 0.0000
# * E_form: 0.1311 eV/atom
# * magnetic moment: 6.434 μB per formula unit


[3]
# Er2LuPu | Alexandria via LeMat-Bulk | GGA-PBE | relaxed
data_Er2LuPu
_chemical_formula_sum 'Er2 Lu1 Pu1'
_cell_length_a 3.4467
_cell_length_b 3.4467
_cell_length_c 9.8996
_cell_angle_alpha 90.00
_cell_angle_beta 90.00
_cell_angle_gamma 90.00
_symmetry_space_group_name_H-M 'P 4/m m m'
_symmetry_Int_Tables_number 123
_symmetry_space_group_name_Hall '-P 4 2'
loop_
_atom_site_label
_atom_site_type_symbol
_atom_site_fract_x
_atom_site_fract_y
_atom_site_fract_z
Er1 Er 0.0000 0.0000 0.2474
Lu1 Lu 0.5000 0.5000 0.5000
Pu1 Pu 0.5000 0.5000 0.0000
# * E_form: 0.0936 eV/atom
# * magnetic moment: 6.034 μB per formula unit


[4]
# Er2LuPu | Alexandria via LeMat-Bulk | GGA-PBE | relaxed
data_Er2LuPu
_chemical_formula_sum 'Er2 Lu1 Pu1'
_cell_length_a 4.9086
_cell_length_b 4.9086
_cell_length_c 4.8903
_cell_angle_alpha 90.00
_cell_angle_beta 90.00
_cell_angle_gamma 90.00
_symmetry_space_group_name_H-M 'P 4/m m m'
_symmetry_Int_Tables_number 123
_symmetry_space_group_name_Hall '-P 4 2'
loop_
_atom_site_label
_atom_site_type_symbol
_atom_site_fract_x
_atom_site_fract_y
_atom_site_fract_z
Er1 Er 0.0000 0.5000 0.0000
Lu1 Lu 0.0000 0.0000 0.5000
Pu1 Pu 0.5000 0.5000 0.5000
# * E_form: 0.1322 eV/atom
# * magnetic moment: 6.358 μB per formula unit


Which excess energy over the best structure of this formula in the dataset belongs to each record? In order, 82.8; 41.2; 0.0; 38.6 meV/atom.